PuSc5Pb3: relaxed, GGA-PBE.

Cell: 8.9542 8.9542 6.2357 Å, 90.00 90.00 120.00°
Space group P6_3/mcm (No. 193)
Unique sites:
Pu 0.0000 0.0000 0.0000
Sc 0.0000 0.3206 0.2500
Sc 0.3333 0.6667 0.0000
Pb 0.0000 0.3484 0.7500

calculated formation energy: -0.344 eV per atom
E: -120.4 eV for the cell shown
calculated volume: 24.1 A^3/atom

---

GaNiS2: relaxed, GGA-PBE.

Cell: 6.337 3.637 7.403 Å, 90.00 90.44 90.00°
Space group Cm (No. 8)
Unique sites:
Ga 0.000 0.000 0.000
Ni 0.004 0.000 0.314
S 0.166 0.500 0.856
S 0.337 0.000 0.342

raw formation energy: -1.84 eV per formula unit
E: -37.8 eV for the cell shown
calculated volume: 21.3 A^3/atom

---

NaCu3Si: relaxed, GGA-PBE.

Cell: 4.511 4.511 4.511 Å, 90.00 90.00 90.00°
Space group Pm-3m (No. 221)
Unique sites:
Na 0.000 0.000 0.000
Cu 0.000 0.000 0.500
Si 0.500 0.500 0.500

raw formation energy: 6.85 eV per formula unit
E: -12.2 eV for the cell shown
calculated volume: 18.4 A^3/atom

---

CrSnPd: relaxed, GGA-PBE.

Cell: 3.1956 3.1956 12.5029 Å, 90.00 90.00 120.00°
Space group P-6m2 (No. 187)
Unique sites:
Cr 0.0000 0.0000 0.1553
Sn 0.3333 0.6667 0.3305
Pd 0.0000 0.0000 0.5000
Pd 0.3333 0.6667 0.0000

calculated formation energy: 0.183 eV per atom
E: -36.5 eV for the cell shown
calculated volume: 18.4 A^3/atom

---

What did the third record say?
NaCu3Si: relaxed, GGA-PBE.

Cell: 4.511 4.511 4.511 Å, 90.00 90.00 90.00°
Space group Pm-3m (No. 221)
Unique sites:
Na 0.000 0.000 0.000
Cu 0.000 0.000 0.500
Si 0.500 0.500 0.500

raw formation energy: 6.85 eV per formula unit
E: -12.2 eV for the cell shown
calculated volume: 18.4 A^3/atom